## Ni6S5 (PBE-GGA)

Data for Ni6S5 after structural relaxation.

The structure in POSCAR format:
```
Ni6S5
1.0
1.655 -5.816 0.000
1.655 5.816 0.000
0.000 0.000 16.285
Ni S
12 10
Direct
0.021 0.979 0.500
0.178 0.822 0.393
0.181 0.819 0.959
0.360 0.640 0.680
0.427 0.573 0.111
0.447 0.553 0.260
0.553 0.447 0.760
0.573 0.427 0.611
0.640 0.360 0.180
0.819 0.181 0.459
0.822 0.178 0.893
0.979 0.021 0.000
0.090 0.910 0.276
0.114 0.886 0.088
0.158 0.842 0.686
0.364 0.636 0.379
0.364 0.636 0.983
0.636 0.364 0.483
0.636 0.364 0.879
0.842 0.158 0.186
0.886 0.114 0.588
0.910 0.090 0.776
```

Results
- Total moment: 0.00 μB per formula unit
- Symmetry: No. 36
- Uncorrected energy: -5.35 eV/atom
- Crystal system: orthorhombic

---

## Ni4S5 (PBE-GGA)

Data for Ni4S5 after structural relaxation.

The structure in POSCAR format:
```
Ni4S5
1.0
-6.375 6.375 1.328
6.375 -6.375 1.328
6.375 6.375 -1.328
Ni S
4 5
Direct
0.000 0.167 0.167
0.000 0.833 0.833
0.167 0.000 0.167
0.833 0.000 0.833
0.000 0.000 0.000
0.343 0.343 0.687
0.343 0.657 0.000
0.657 0.343 0.000
0.657 0.657 0.313
```

Results
- Total moment: 0.00 μB per formula unit
- Symmetry: No. 139
- Uncorrected energy: -4.72 eV/atom
- Crystal system: tetragonal

---

## Ni3S (PBE-GGA)

Data for Ni3S after structural relaxation.

The structure in POSCAR format:
```
Ni3S
1.0
5.702 0.000 0.000
-2.851 4.938 0.000
0.000 0.000 3.364
Ni S
6 2
Direct
0.180 0.360 0.250
0.180 0.820 0.250
0.360 0.180 0.750
0.640 0.820 0.250
0.820 0.180 0.750
0.820 0.640 0.750
0.333 0.667 0.750
0.667 0.333 0.250
```

Results
- Total moment: 0.78 μB per formula unit
- Symmetry: No. 194
- Uncorrected energy: -5.25 eV/atom
- Crystal system: hexagonal

---

## NiSbS (PBE-GGA)

Data for NiSbS after structural relaxation.

The structure in POSCAR format:
```
NiSbS
1.0
3.632 0.000 0.000
-1.816 3.146 0.000
0.000 0.000 4.817
Ni Sb S
1 1 1
Direct
0.000 0.000 0.000
0.333 0.667 0.691
0.667 0.333 0.193
```

Results
- Total moment: 0.00 μB per formula unit
- Symmetry: No. 156
- Uncorrected energy: -4.90 eV/atom
- Crystal system: trigonal

---

## NiSb3S (PBE-GGA)

Data for NiSb3S after structural relaxation.

The structure in POSCAR format:
```
NiSb3S
1.0
5.124 0.000 0.000
0.000 5.124 0.000
0.000 0.000 5.124
Ni Sb S
1 3 1
Direct
0.000 0.000 0.000
0.000 0.500 0.500
0.500 0.000 0.500
0.500 0.500 0.000
0.500 0.500 0.500
```

Results
- Total moment: 0.01 μB per formula unit
- Symmetry: No. 221
- Distance to the lowest polymorph of the same formula: 0.4884 eV per atom
- Uncorrected energy: -3.53 eV/atom
- Crystal system: cubic

---

## NiSb2S4 (PBE-GGA)

Data for NiSb2S4 after structural relaxation.

The structure in POSCAR format:
```
NiSb2S4
1.0
1.838 -6.261 0.000
1.838 6.261 0.000
0.000 0.000 13.147
Ni Sb S
2 4 8
Direct
0.078 0.922 0.750
0.922 0.078 0.250
0.362 0.638 0.571
0.362 0.638 0.929
0.638 0.362 0.071
0.638 0.362 0.429
0.000 0.000 0.000
0.000 0.000 0.500
0.280 0.720 0.126
0.280 0.720 0.374
0.484 0.516 0.750
0.516 0.484 0.250
0.720 0.280 0.626
0.720 0.280 0.874
```

Results
- Total moment: 0.00 μB per formula unit
- Symmetry: No. 63
- Uncorrected energy: -4.37 eV/atom
- Crystal system: orthorhombic

---

## Ni2SbS (PBE-GGA)

Data for Ni2SbS after structural relaxation.

The structure in POSCAR format:
```
Ni2SbS
1.0
4.198 0.000 0.000
-2.099 3.636 0.000
0.000 0.000 16.355
Ni Sb S
6 3 3
Direct
0.000 0.000 0.125
0.000 0.000 0.875
0.333 0.667 0.542
0.333 0.667 0.792
0.667 0.333 0.208
0.667 0.333 0.458
0.000 0.000 0.500
0.333 0.667 0.167
0.667 0.333 0.833
0.000 0.000 0.000
0.333 0.667 0.667
0.667 0.333 0.333
```

Results
- Total moment: 0.00 μB per formula unit
- Symmetry: No. 166
- Uncorrected energy: -4.92 eV/atom
- Crystal system: trigonal

---

## Ni2SbS (PBE-GGA)

Data for Ni2SbS after structural relaxation.

The structure in POSCAR format:
```
Ni2SbS
1.0
5.420 0.000 0.000
0.000 5.420 0.000
0.000 0.000 10.416
Ni Sb S
8 4 4
Direct
0.190 0.250 0.125
0.250 0.690 0.375
0.250 0.810 0.875
0.310 0.250 0.625
0.690 0.750 0.625
0.750 0.190 0.875
0.750 0.310 0.375
0.810 0.750 0.125
0.000 0.000 0.500
0.000 0.500 0.750
0.500 0.000 0.250
0.500 0.500 0.000
0.000 0.000 0.000
0.000 0.500 0.250
0.500 0.000 0.750
0.500 0.500 0.500
```

Results
- Total moment: 0.00 μB per formula unit
- Symmetry: No. 122
- Uncorrected energy: -5.11 eV/atom
- Crystal system: tetragonal

---

## NiSbS (PBE-GGA)

Data for NiSbS after structural relaxation.

The structure in POSCAR format:
```
NiSbS
1.0
5.952 0.000 0.000
0.000 5.952 0.000
0.000 0.000 5.952
Ni Sb S
4 4 4
Direct
0.020 0.020 0.020
0.480 0.980 0.520
0.520 0.480 0.980
0.980 0.520 0.480
0.129 0.629 0.871
0.371 0.371 0.371
0.629 0.871 0.129
0.871 0.129 0.629
0.119 0.881 0.381
0.381 0.119 0.881
0.619 0.619 0.619
0.881 0.381 0.119
```

Results
- Total moment: 0.00 μB per formula unit
- Symmetry: No. 198
- Uncorrected energy: -4.99 eV/atom
- Crystal system: cubic

---

## Ni4SbS (PBE-GGA)

Data for Ni4SbS after structural relaxation.

The structure in POSCAR format:
```
Ni4SbS
1.0
4.101 0.000 0.000
0.003 5.462 0.000
1.989 2.724 7.174
Ni Sb S
8 2 2
Direct
0.083 0.192 0.347
0.152 0.753 0.202
0.348 0.957 0.797
0.417 0.539 0.653
0.583 0.461 0.347
0.652 0.043 0.203
0.848 0.247 0.798
0.917 0.808 0.653
0.250 0.258 0.000
0.750 0.742 0.000
0.000 0.500 0.500
0.500 0.000 0.500
```

Results
- Total moment: 0.00 μB per formula unit
- Symmetry: No. 2
- Uncorrected energy: -5.34 eV/atom
- Crystal system: triclinic

---

## NiSbS (PBE-GGA)

Data for NiSbS after structural relaxation.

The structure in POSCAR format:
```
NiSbS
1.0
3.586 0.000 0.000
0.000 18.174 0.000
0.000 0.000 3.869
Ni Sb S
4 4 4
Direct
0.000 0.218 0.000
0.000 0.782 0.500
0.500 0.282 0.500
0.500 0.718 0.000
0.000 0.352 0.050
0.000 0.648 0.550
0.500 0.148 0.550
0.500 0.852 0.050
0.000 0.097 0.106
0.000 0.903 0.606
0.500 0.403 0.606
0.500 0.597 0.106
```

Results
- Total moment: 0.00 μB per formula unit
- Symmetry: No. 36
- Uncorrected energy: -4.69 eV/atom
- Crystal system: orthorhombic

---

## NiSbS2 (PBE-GGA)

Data for NiSbS2 after structural relaxation.

The structure in POSCAR format:
```
NiSbS2
1.0
4.026 0.000 0.000
-2.013 3.487 0.000
0.000 0.000 21.251
Ni Sb S
3 3 6
Direct
0.000 0.000 0.000
0.333 0.667 0.667
0.667 0.333 0.333
0.000 0.000 0.500
0.333 0.667 0.167
0.667 0.333 0.833
0.000 0.000 0.098
0.000 0.000 0.902
0.333 0.667 0.569
0.333 0.667 0.765
0.667 0.333 0.235
0.667 0.333 0.431
```

Results
- Total moment: 0.87 μB per formula unit
- Symmetry: No. 166
- Uncorrected energy: -4.47 eV/atom
- Crystal system: trigonal

---

## NiSbS2 (PBE-GGA)

Data for NiSbS2 after structural relaxation.

The structure in POSCAR format:
```
NiSbS2
1.0
3.412 0.000 0.000
-1.706 2.955 0.000
0.000 0.000 23.441
Ni Sb S
3 3 6
Direct
0.000 0.000 0.000
0.333 0.667 0.667
0.667 0.333 0.333
0.000 0.000 0.500
0.333 0.667 0.167
0.667 0.333 0.833
0.000 0.000 0.384
0.000 0.000 0.616
0.333 0.667 0.050
0.333 0.667 0.283
0.667 0.333 0.717
0.667 0.333 0.950
```

Results
- Total moment: 0.00 μB per formula unit
- Symmetry: No. 166
- Uncorrected energy: -4.71 eV/atom
- Crystal system: trigonal

---

## NiSbS3 (PBE-GGA)

Data for NiSbS3 after structural relaxation.

The structure in POSCAR format:
```
NiSbS3
1.0
4.465 0.000 0.000
0.000 4.465 0.000
0.000 0.000 4.465
Ni Sb S
1 1 3
Direct
0.000 0.000 0.000
0.500 0.500 0.500
0.000 0.000 0.500
0.000 0.500 0.000
0.500 0.000 0.000
```

Results
- Total moment: 0.00 μB per formula unit
- Symmetry: No. 221
- Distance to the lowest polymorph of the same formula: 0.0000 eV per atom
- Uncorrected energy: -4.26 eV/atom
- Crystal system: cubic

---

## NiSb3S (PBE-GGA)

Data for NiSb3S after structural relaxation.

The structure in POSCAR format:
```
NiSb3S
1.0
4.955 0.000 0.000
0.000 4.955 0.000
0.000 0.000 4.955
Ni Sb S
1 3 1
Direct
0.000 0.000 0.000
0.000 0.000 0.500
0.000 0.500 0.000
0.500 0.000 0.000
0.500 0.500 0.500
```

Results
- Total moment: 0.00 μB per formula unit
- Symmetry: No. 221
- Distance to the lowest polymorph of the same formula: 0.0000 eV per atom
- Uncorrected energy: -4.02 eV/atom
- Crystal system: cubic

---

## Ni2SbS3 (PBE-GGA)

Data for Ni2SbS3 after structural relaxation.

The structure in POSCAR format:
```
Ni2SbS3
1.0
3.346 1.932 5.448
-3.346 1.932 5.448
0.000 -3.863 5.448
Ni Sb S
4 2 6
Direct
0.000 0.000 0.000
0.000 0.500 0.500
0.500 0.000 0.500
0.500 0.500 0.000
0.219 0.219 0.219
0.781 0.781 0.781
0.239 0.239 0.736
0.239 0.736 0.239
0.264 0.761 0.761
0.736 0.239 0.239
0.761 0.264 0.761
0.761 0.761 0.264
```

Results
- Total moment: 0.00 μB per formula unit
- Symmetry: No. 166
- Uncorrected energy: -4.88 eV/atom
- Crystal system: trigonal

---

## NiSbS2 (PBE-GGA)

Data for NiSbS2 after structural relaxation.

The structure in POSCAR format:
```
NiSbS2
1.0
5.870 0.000 0.000
0.000 5.870 0.000
0.000 0.000 10.149
Ni Sb S
4 4 8
Direct
0.000 0.000 0.000
0.000 0.500 0.250
0.500 0.000 0.750
0.500 0.500 0.500
0.000 0.000 0.500
0.000 0.500 0.750
0.500 0.000 0.250
0.500 0.500 0.000
0.176 0.250 0.125
0.250 0.676 0.375
0.250 0.824 0.875
0.324 0.250 0.625
0.676 0.750 0.625
0.750 0.176 0.875
0.750 0.324 0.375
0.824 0.750 0.125
```

Results
- Total moment: 0.00 μB per formula unit
- Symmetry: No. 122
- Uncorrected energy: -4.61 eV/atom
- Crystal system: tetragonal

---

## NiSbSe2S (PBE-GGA)

Data for NiSbSe2S after structural relaxation.

The structure in POSCAR format:
```
NiSbSe2S
1.0
5.315 0.000 0.000
0.000 5.315 0.000
0.000 0.000 4.924
Ni Sb Se S
1 1 2 1
Direct
0.000 0.000 0.000
0.500 0.500 0.500
0.000 0.500 0.500
0.500 0.000 0.500
0.500 0.500 0.000
```

Results
- Total moment: 1.71 μB per formula unit
- Symmetry: No. 123
- Uncorrected energy: -3.27 eV/atom
- Crystal system: tetragonal

---

## SiNiSb2S (PBE-GGA)

Data for SiNiSb2S after structural relaxation.

The structure in POSCAR format:
```
SiNiSb2S
1.0
5.332 0.000 0.000
0.000 5.332 0.000
0.000 0.000 4.040
Si Ni Sb S
1 1 2 1
Direct
0.000 0.000 0.000
0.500 0.500 0.000
0.000 0.500 0.500
0.500 0.000 0.500
0.500 0.500 0.500
```

Results
- Total moment: 0.00 μB per formula unit
- Symmetry: No. 123
- Uncorrected energy: -4.15 eV/atom
- Crystal system: tetragonal

---

## SrNiSbS2 (PBE-GGA)

Data for SrNiSbS2 after structural relaxation.

The structure in POSCAR format:
```
SrNiSbS2
1.0
4.906 0.000 0.000
0.000 4.906 0.000
0.000 0.000 4.703
Sr Ni Sb S
1 1 1 2
Direct
0.000 0.000 0.000
0.500 0.500 0.500
0.500 0.500 0.000
0.000 0.500 0.500
0.500 0.000 0.500
```

Results
- Total moment: 0.00 μB per formula unit
- Symmetry: No. 123
- Uncorrected energy: -4.41 eV/atom
- Crystal system: tetragonal

---

## Ta2NiSb2S6 (PBE-GGA)

Data for Ta2NiSb2S6 after structural relaxation.

The structure in POSCAR format:
```
Ta2NiSb2S6
1.0
2.924 -5.305 0.000
2.924 5.305 0.000
-2.445 0.000 7.575
Ta Ni Sb S
2 1 2 6
Direct
0.143 0.857 0.000
0.857 0.143 0.000
0.500 0.500 0.000
0.200 0.800 0.500
0.800 0.200 0.500
0.114 0.114 0.803
0.242 0.592 0.189
0.408 0.758 0.811
0.592 0.242 0.189
0.758 0.408 0.811
0.886 0.886 0.197
```

Results
- Total moment: 0.00 μB per formula unit
- Symmetry: No. 12
- Uncorrected energy: -6.15 eV/atom
- Crystal system: monoclinic

---

## NiSb2TeS (PBE-GGA)

Data for NiSb2TeS after structural relaxation.

The structure in POSCAR format:
```
NiSb2TeS
1.0
4.956 0.000 0.000
0.000 4.956 0.000
0.000 0.000 5.018
Ni Sb Te S
1 2 1 1
Direct
0.000 0.000 0.000
0.000 0.500 0.000
0.500 0.000 0.000
0.000 0.000 0.500
0.500 0.500 0.500
```

Results
- Total moment: 0.00 μB per formula unit
- Symmetry: No. 123
- Distance to the lowest polymorph of the same formula: 0.0000 eV per atom
- Uncorrected energy: -3.80 eV/atom
- Crystal system: tetragonal

---

## NiSb2TeS (PBE-GGA)

Data for NiSb2TeS after structural relaxation.

The structure in POSCAR format:
```
NiSb2TeS
1.0
5.160 0.000 0.000
0.000 5.160 0.000
0.000 0.000 5.134
Ni Sb Te S
1 2 1 1
Direct
0.000 0.000 0.000
0.000 0.500 0.500
0.500 0.000 0.500
0.500 0.500 0.000
0.500 0.500 0.500
```

Results
- Total moment: 0.41 μB per formula unit
- Symmetry: No. 123
- Distance to the lowest polymorph of the same formula: 0.4824 eV per atom
- Uncorrected energy: -3.32 eV/atom
- Crystal system: tetragonal

---

## NiSbTe2S (PBE-GGA)

Data for NiSbTe2S after structural relaxation.

The structure in POSCAR format:
```
NiSbTe2S
1.0
5.179 0.000 0.000
0.000 5.179 0.000
0.000 0.000 5.177
Ni Sb Te S
1 1 2 1
Direct
0.000 0.000 0.000
0.500 0.500 0.000
0.000 0.500 0.500
0.500 0.000 0.500
0.500 0.500 0.500
```

Results
- Total moment: 0.91 μB per formula unit
- Symmetry: No. 123
- Distance to the lowest polymorph of the same formula: 0.4497 eV per atom
- Uncorrected energy: -3.12 eV/atom
- Crystal system: tetragonal

---

## NiSbTe2S (PBE-GGA)

Data for NiSbTe2S after structural relaxation.

The structure in POSCAR format:
```
NiSbTe2S
1.0
5.008 0.000 0.000
0.000 5.008 0.000
0.000 0.000 4.965
Ni Sb Te S
1 1 2 1
Direct
0.000 0.000 0.000
0.000 0.000 0.500
0.000 0.500 0.000
0.500 0.000 0.000
0.500 0.500 0.500
```

Results
- Total moment: 0.00 μB per formula unit
- Symmetry: No. 123
- Distance to the lowest polymorph of the same formula: 0.0000 eV per atom
- Uncorrected energy: -3.57 eV/atom
- Crystal system: tetragonal

---

Number 1: formation energy from raw total energies -321.8 meV per atom. Number 2: formation energy from raw total energies 146.4 meV per atom. Number 3: formation energy from raw total energies 120.4 meV per atom. Number 4: formation energy from raw total energies -218.2 meV per atom. Number 5: formation energy from raw total energies 924.6 meV per atom. Number 6: formation energy from raw total energies -11.6 meV per atom. Number 7: formation energy from raw total energies 28.4 meV per atom. Number 8: formation energy from raw total energies -152.3 meV per atom. Number 9: formation energy from raw total energies -317.3 meV per atom. Number 10: formation energy from raw total energies -111.5 meV per atom. Number 11: formation energy from raw total energies -15.1 meV per atom. Number 12: formation energy from raw total energies 73.8 meV per atom. Number 13: formation energy from raw total energies -172.2 meV per atom. Number 14: formation energy from raw total energies 198.3 meV per atom. Number 15: formation energy from raw total energies 436.2 meV per atom. Number 16: formation energy from raw total energies -199.1 meV per atom. Number 17: formation energy from raw total energies -70.8 meV per atom. Number 18: formation energy from raw total energies 930.8 meV per atom. Number 19: formation energy from raw total energies 563.6 meV per atom. Number 20: formation energy from raw total energies -441.4 meV per atom. Number 21: formation energy from raw total energies -471.6 meV per atom. Number 22: formation energy from raw total energies 460.1 meV per atom. Number 23: formation energy from raw total energies 942.5 meV per atom. Number 24: formation energy from raw total energies 944.5 meV per atom. Number 25: formation energy from raw total energies 494.8 meV per atom.